(1)
Entry from Alexandria: a crystal of SbRhS2Cl relaxed with PBEsol (meta-GGA SCAN).

Properties
* electronic total energy: -18.952 eV per atom
* DOS(E_F): 3.11 states/eV per cell
* M_tot: 2.31 μB/cell
* volume: 122.8 Å³/cell

Structure (extended XYZ):
```
5
Lattice="4.938 0.000 0.000 0.000 4.986 0.000 0.000 0.000 4.986" Properties=species:S:1:pos:R:3 pbc="T T T"
Sb 0.000 0.000 0.000
S 0.000 0.000 2.493
S 0.000 2.493 0.000
Rh 2.469 2.493 2.493
Cl 2.469 0.000 0.000
```

***

(2)
Entry from Alexandria: a crystal of Li9Ti12NbO30 relaxed with PBEsol (meta-GGA SCAN).

Properties
* electronic total energy: -11.392 eV per atom
* DOS(E_F): 7.67 states/eV per cell
* M_tot: 1.35 μB/cell
* volume: 520.0 Å³/cell

Structure (extended XYZ):
```
52
Lattice="-0.389 -0.248 5.054 2.890 -3.254 2.611 17.347 15.159 4.625" Properties=species:S:1:pos:R:3 pbc="T T T"
Li 3.752 -2.265 7.822
Li 14.578 8.439 9.179
Li 15.257 11.101 6.814
Li 4.455 0.422 5.460
Li 8.624 4.543 5.982
Li 11.221 7.111 6.308
Li 16.041 13.867 4.462
Li 11.887 9.760 3.941
Li 4.633 2.589 3.031
Ti 7.628 1.568 8.308
Ti 10.505 4.411 8.669
Ti 12.584 6.467 8.929
Ti 5.745 -0.294 8.072
Ti 17.153 10.984 9.502
Ti 17.938 13.752 7.150
Ti 1.891 -2.113 5.138
Ti 6.563 2.505 5.724
Ti 13.207 9.074 6.557
Ti 2.657 0.636 2.784
Ti 7.255 5.181 3.360
Ti 9.310 7.213 3.618
Nb 13.975 11.825 4.203
O 17.292 12.874 10.476
O 2.950 1.268 6.342
O 18.241 12.211 8.142
O 9.440 7.761 7.074
O 19.131 11.038 10.291
O 13.073 10.743 7.566
O 6.409 4.337 6.652
O 8.880 4.993 7.940
O 15.556 11.478 8.735
O 4.845 2.905 4.982
O 11.426 9.342 5.808
O 14.658 12.747 5.890
O 8.055 6.204 4.972
O 12.411 8.065 8.023
O 5.875 1.575 7.248
O 14.026 10.091 5.102
O 7.552 3.490 4.211
O 11.742 5.403 7.306
O 5.258 -1.074 6.398
O 8.396 2.328 6.644
O 14.993 8.833 7.312
O 4.318 0.241 3.534
O 10.913 6.617 4.347
O 13.360 7.420 5.535
O 6.836 0.929 4.674
O 0.725 0.637 2.005
O 10.361 3.841 5.213
O 1.624 -0.545 4.154
O 16.930 10.436 5.989
O 2.569 -1.203 1.809
```